[1]
Below is Y2CoTe after structural relaxation, with properties calculated at the PBE level.

Uncorrected formation energy, meV per atom: -532
Density, g cm⁻³: 6.38
VASP energy, eV for the cell shown: -25.305
Crystal system: tetragonal

Cell: 3.6269 3.6269 7.2047 Å, 90.00 90.00 90.00°
With the nearest neighbours (Å) after each atom.
Fractional coordinates of all 4 atoms:
Y: 0.0000 0.0000 0.2234  4 Co 3.03, 1 Y 3.22, 4 Te 3.25
Y: 0.0000 0.0000 0.7766  4 Co 3.03, 1 Y 3.22, 4 Te 3.25
Co: 0.5000 0.5000 0.0000  8 Y 3.03
Te: 0.5000 0.5000 0.5000  8 Y 3.25, 2 Co 3.60, 4 Te 3.63

[2]
Below is Y2CoTe after structural relaxation, with properties calculated at the PBE level.

Uncorrected formation energy, meV per atom: -411
Density, g cm⁻³: 5.76
VASP energy, eV for the cell shown: -24.820
Crystal system: trigonal

Cell: 7.3368 7.3368 7.3368 Å, 33.12 33.12 33.12°
With the nearest neighbours (Å) after each atom.
Fractional coordinates of all 4 atoms:
Y: 0.0000 0.0000 0.0000  3 Te 3.07, 3 Co 3.32
Y: 0.1887 0.1887 0.1887  3 Co 2.92, 3 Te 3.15
Co: 0.4433 0.4433 0.4433  3 Te 2.45
Te: 0.7577 0.7577 0.7577  3 Co 2.45

[3]
Below is Y4CoTe after structural relaxation, with properties calculated at the PBE level.

Polymorph energy (0 for the lowest one), meV/atom: 1096.8
Uncorrected formation energy, meV per atom: 552
Density, g cm⁻³: 5.24
VASP energy, eV for the cell shown: -32.794
Crystal system: cubic

Cell: 6.2402 6.2402 6.2402 Å, 60.00 60.00 60.00°
With the nearest neighbours (Å) after each atom.
Fractional coordinates of all 6 atoms:
Y: 0.1241 0.1241 0.1241  6 Y 3.10-3.14
Y: 0.1241 0.1241 0.6277  6 Y 3.10-3.14
Y: 0.1241 0.6277 0.1241  6 Y 3.10-3.14
Y: 0.6277 0.1241 0.1241  6 Y 3.10-3.14
Co: 0.7500 0.7500 0.7500  12 Y 3.66, 4 Te 3.82
Te: 0.5000 0.5000 0.5000  12 Y 3.66, 4 Co 3.82

Q: The highest uncorrected formation energy belongs to which entry?
A: Y4CoTe

Q: Number 3 is which compound?
A: Y4CoTe